A plane-wave DFT calculation with GGA+U was carried out for an optimized crystal structure of KCrC2O6.

Unit cell a=4.8615 b=4.8615 c=18.4250 alpha=90.00 beta=90.00 gamma=120.00
Closest atoms and distances in Å follow each position.
Space group R-3 (No. 148, hexagonal axes)
Unique sites:
1 K 0.0000 0.0000 0.0000 (multiplicity 3)  6 O 2.75
2 Cr 0.0000 0.0000 0.5000 (multiplicity 3)  6 O 2.03
3 C 0.0000 0.0000 0.2274 (multiplicity 6)  3 O 1.30
4 O 0.0458 0.6185 0.8962 (multiplicity 18)  1 C 1.30


A plane-wave DFT calculation with GGA+U was carried out for an optimized crystal structure of KCrCO4.

Unit cell a=4.7611 b=5.3440 c=7.0750 alpha=90.00 beta=107.93 gamma=90.00
Closest atoms and distances in Å follow each position.
Space group P2_1/m (No. 11)
Unique sites:
1 K 0.2013 0.2500 0.4229 (multiplicity 2)  8 O 2.67-2.97
2 Cr 0.2729 0.2500 0.9412 (multiplicity 2)  4 O 1.93-2.05
3 C 0.2733 0.7500 0.1599 (multiplicity 2)  4 O 1.39-1.43
4 O 0.0699 0.7500 0.9676 (multiplicity 2)  1 C 1.41
5 O 0.1112 0.7500 0.2923 (multiplicity 2)  1 C 1.39
6 O 0.4688 0.5418 0.1825 (multiplicity 4)  1 C 1.43


A plane-wave DFT calculation with GGA+U was carried out for an optimized crystal structure of K3CrPCO7.

Unit cell a=5.7367 b=6.7994 c=9.9236 alpha=90.00 beta=91.53 gamma=90.00
Closest atoms and distances in Å follow each position.
Space group P2_1/m (No. 11)
Unique sites:
1 K 0.2406 0.2500 0.0773 (multiplicity 2)  6 O 2.69-3.00
2 K 0.2442 0.5101 0.7268 (multiplicity 4)  6 O 2.60-2.90
3 Cr 0.2462 0.7500 0.3566 (multiplicity 2)  4 O 2.06-2.16
4 P 0.2944 0.2500 0.4219 (multiplicity 2)  4 O 1.54-1.57
5 C 0.2700 0.7500 0.0785 (multiplicity 2)  3 O 1.29-1.32
6 O 0.0879 0.7500 0.1572 (multiplicity 2)  1 C 1.32
7 O 0.1344 0.2500 0.5438 (multiplicity 2)  1 P 1.54
8 O 0.2393 0.7500 0.9488 (multiplicity 2)  1 C 1.29
9 O 0.2497 0.0648 0.3302 (multiplicity 4)  1 P 1.57
10 O 0.4411 0.7500 0.5337 (multiplicity 2)  1 P 1.57
11 O 0.4768 0.7500 0.1344 (multiplicity 2)  1 C 1.30


A plane-wave DFT calculation with GGA+U was carried out for an optimized crystal structure of KCrPCO7.

Unit cell a=5.2416 b=6.2582 c=10.5042 alpha=90.06 beta=91.84 gamma=90.02
Closest atoms and distances in Å follow each position.
Space group P1 (No. 1)
Unique sites:
1 K 0.0000 0.0000 0.0000 (multiplicity 1)  4 O 2.60-2.86
2 K 0.4690 0.5004 0.5919 (multiplicity 1)  4 O 2.60-2.87
3 Cr 0.0185 0.8884 0.4355 (multiplicity 1)  6 O 1.90-2.00
4 Cr 0.4510 0.3879 0.1562 (multiplicity 1)  6 O 1.90-2.00
5 P 0.5140 0.8843 0.2384 (multiplicity 1)  4 O 1.54-1.56
6 P 0.9555 0.3843 0.3532 (multiplicity 1)  4 O 1.54-1.56
7 C 0.5317 0.3736 0.9329 (multiplicity 1)  3 O 1.23-1.35
8 C 0.9377 0.8739 0.6587 (multiplicity 1)  3 O 1.23-1.35
9 O 0.0159 0.1910 0.4430 (multiplicity 1)  1 P 1.56
10 O 0.0202 0.5778 0.4413 (multiplicity 1)  1 P 1.55
11 O 0.1234 0.3796 0.2361 (multiplicity 1)  1 P 1.54
12 O 0.1688 0.8810 0.6107 (multiplicity 1)  1 C 1.33
13 O 0.3006 0.3800 0.9810 (multiplicity 1)  1 C 1.33
14 O 0.3460 0.8810 0.3555 (multiplicity 1)  1 P 1.54
15 O 0.4501 0.0773 0.1500 (multiplicity 1)  1 P 1.55
16 O 0.4529 0.6905 0.1489 (multiplicity 1)  1 P 1.56
17 O 0.5827 0.3626 0.8197 (multiplicity 1)  1 C 1.23
18 O 0.6691 0.3869 0.3154 (multiplicity 1)  1 P 1.54
19 O 0.7087 0.3765 0.0296 (multiplicity 1)  1 C 1.35
20 O 0.7607 0.8765 0.5620 (multiplicity 1)  1 C 1.35
21 O 0.8003 0.8868 0.2763 (multiplicity 1)  1 P 1.54
22 O 0.8865 0.8625 0.7719 (multiplicity 1)  1 C 1.23


| no. | E_tot (eV/cell) |
| --- | --- |
| 1 | -220.71 |
| 2 | -96.42 |
| 3 | -171.76 |
| 4 | -155.79 |